(1)
DFT (PBE) results for an optimized crystal structure of CoSn2HgTe.

abc: 4.973 4.973 5.104
angles: 90.00 90.00 90.00
Space group P4/mmm (No. 123)
One atom of each set of equivalent atoms:
Co  0.000  0.000  0.000 (multiplicity 1)
Sn  0.000  0.500  0.000 (multiplicity 2)
Hg  0.000  0.000  0.500 (multiplicity 1)
Te  0.500  0.500  0.500 (multiplicity 1)

* magnetic moment: 0.00 μB per cell
* D(E_F): 3.5 states/eV/cell
* formation energy (no corrections): 69 meV per atom

***

(2)
DFT (PBE) results for an optimized crystal structure of Ba3CaZn8.

abc: 6.0927 6.0927 9.1161
angles: 90.00 90.00 120.00
Space group P3m1 (No. 156)
One atom of each set of equivalent atoms:
Ba  0.0000  0.0000  0.0000 (multiplicity 1)
Ba  0.0000  0.0000  0.4038 (multiplicity 1)
Ba  0.3333  0.6667  0.8960 (multiplicity 1)
Ca  0.3333  0.6667  0.4927 (multiplicity 1)
Zn  0.3692  0.1846  0.6990 (multiplicity 3)
Zn  0.5146  0.0292  0.2068 (multiplicity 3)
Zn  0.6667  0.3333  0.4520 (multiplicity 1)
Zn  0.6667  0.3333  0.9563 (multiplicity 1)

* magnetic moment: 0.00 μB per cell
* D(E_F): 10.7 states/eV/cell
* energy relative to the elements: -14.5 kJ per mole of atoms

***

(3)
DFT (PBE) results for an optimized crystal structure of Ce2Rh17.

abc: 8.9929 8.9929 13.1371
angles: 90.00 90.00 120.00
Space group R-3m (No. 166, hexagonal axes)
One atom of each set of equivalent atoms:
Ce  0.0000  0.0000  0.1644 (multiplicity 6)
Rh  0.0000  0.0000  0.3979 (multiplicity 6)
Rh  0.0000  0.2988  0.5000 (multiplicity 18)
Rh  0.0000  0.5000  0.0000 (multiplicity 9)
Rh  0.0035  0.5018  0.6524 (multiplicity 18)

* magnetic moment: 0.00 μB per cell
* D(E_F): 96.3 states/eV/cell
* energy relative to the elements: -16.1 kJ per mole of atoms

***

- What is the D(E_F) in the third record?
  96.3 states/eV/cell

***

- What is the formula in the third record?
  Ce2Rh17